(1)
## Sn2RhW2 (PBE)

Data for a relaxed Sn2RhW2 crystal.

Cell: 3.8639 3.8639 7.3083 Å, 74.67 74.67 90.00°
Positions (direct):
W  0.5867  0.5867  0.8267
Sn  0.7500  0.2500  0.5000
Sn  0.2500  0.7500  0.5000
W  0.4133  0.4133  0.1733
Rh  0.0000  0.0000  0.0000

Energy above the lowest structure with this stoichiometry (kcal/mol of atoms): 8.49
Formation energy (eV per atom): 1.01



(2)
## SnRhW2 (PBE)

Data for a relaxed SnRhW2 crystal.

Cell: 3.7872 3.7872 10.4028 Å, 79.51 79.51 90.00°
Positions (direct):
Sn  0.7500  0.2500  0.5000
W  0.3750  0.3714  0.7500
Rh  0.2500  0.7500  0.5000
W  0.8750  0.8786  0.7500
W  0.6286  0.1250  0.2500
Rh  0.5000  0.5000  0.0000
W  0.1214  0.6250  0.2500
Sn  0.0000  0.0000  0.0000

Formation energy (eV per atom): 0.62



(3)
## Sn2RhW2 (PBE)

Data for a relaxed Sn2RhW2 crystal.

Cell: 3.6208 3.6208 8.0526 Å, 77.01 77.01 90.00°
Positions (direct):
Sn  0.4013  0.4013  0.1974
Rh  0.0000  0.0000  0.0000
W  0.2500  0.7500  0.5000
W  0.7500  0.2500  0.5000
Sn  0.5987  0.5987  0.8026

Energy above the lowest structure with this stoichiometry (kcal/mol of atoms): 0.60
Formation energy (eV per atom): 0.67



(4)
## Zn2SnRhW (PBE)

Data for a relaxed Zn2SnRhW crystal.

Cell: 4.7128 5.1241 4.7128 Å, 90.00 90.00 90.00°
Positions (direct):
W  0.0000  0.5000  0.0000
Zn  0.5000  0.0000  0.0000
Zn  0.0000  0.0000  0.5000
Rh  0.5000  0.5000  0.5000
Sn  0.0000  0.0000  0.0000

Formation energy (eV per atom): 1.80